This record from the Alexandria database describes an optimized crystal structure of PmPd2F6. The functional is GGA-PBE.

```
PmPd2F6
1.0
6.562 -3.957 0.000
6.562 3.957 0.000
-1.835 0.000 5.146
Pm Pd F
2 4 12
direct
0.198 0.802 0.750
0.802 0.198 0.250
0.243 0.277 0.279
0.277 0.243 0.779
0.723 0.757 0.221
0.757 0.723 0.721
0.045 0.140 0.650
0.089 0.566 0.798
0.140 0.045 0.150
0.305 0.528 0.435
0.434 0.911 0.702
0.472 0.695 0.065
0.528 0.305 0.935
0.566 0.089 0.298
0.695 0.472 0.565
0.860 0.955 0.850
0.911 0.434 0.202
0.955 0.860 0.350
```

Output
As for the uncorrected formation energy: -2.28 eV/atom. The magnetic moment comes out at 4.34 μB/cell. The density of states at the Fermi level comes out at 6.931 states/eV/cell.